Entry 1:
Density functional theory data (PBE) for crystalline ReAgIr2 at its relaxed geometry.

Cell lengths 3.8327, 2.7832, 6.3443 Å; angles 63.94, 90.00, 90.00 degrees
With the nearest neighbours (Å) after each atom.
Positions (direct):
Ir: 0.0000 0.9843 0.0144  3 Ir 2.69-2.78, 4 Re 2.72, 4 Ag 2.81
Ir: 0.0000 0.5157 0.4856  3 Ir 2.69-2.78, 4 Re 2.72, 4 Ag 2.81
Ag: 0.5000 0.7500 0.7500  2 Ag 2.78, 8 Ir 2.81, 2 Re 2.85
Re: 0.5000 0.2500 0.2500  8 Ir 2.72, 2 Re 2.78, 2 Ag 2.85

Properties
Calculated volume: 15.2 Å³ per atom
Density: 18.53 g/cm³
N(E_F): 0.67 states/eV per atom
Energy of formation from the pure elements: 179 meV/atom
Energy above the lowest structure with this stoichiometry: 3.37 kcal/mol of atoms
Energy: -8.08 eV/atom
M_tot: 0.000 μB per atom

---

Entry 2:
Density functional theory data (PBE) for crystalline Dy7Cu2Pd2 at its relaxed geometry.

Cell lengths 6.5731, 7.1906, 6.5731 Å; angles 90.00, 110.27, 90.00 degrees
With the nearest neighbours (Å) after each atom.
Positions (direct):
Dy: 0.5002 0.7333 0.4998  2 Pd 2.95, 2 Cu 2.98, 4 Dy 3.29
Dy: 0.9998 0.2722 0.5003  2 Pd 2.75
Dy: 0.5003 0.7278 0.9998  2 Pd 2.75
Dy: 0.0000 0.0000 0.0000  2 Pd 3.15
Dy: 0.4998 0.2667 0.5002  2 Pd 2.95, 2 Cu 2.98, 4 Dy 3.29
Dy: 0.0002 0.7278 0.4997  2 Pd 2.75
Dy: 0.4997 0.2722 0.0002  2 Pd 2.75
Cu: 0.8282 0.5000 0.8282  1 Cu 2.58
Cu: 0.1718 0.5000 0.1718  1 Cu 2.58
Pd: 0.2919 0.0000 0.7081  6 Dy 2.75-2.95
Pd: 0.7081 0.0000 0.2919  6 Dy 2.75-2.95

Properties
Calculated volume: 26.5 Å³ per atom
Density: 8.42 g/cm³
N(E_F): 1.16 states/eV per atom
Energy of formation from the pure elements: -175 meV/atom
Energy: -4.79 eV/atom
M_tot: 0.000 μB per atom

---

Entry 3:
Density functional theory data (PBE) for crystalline TcTePS2 at its relaxed geometry.

Cell lengths 4.4386, 5.8168, 4.4386 Å; angles 90.00, 90.00, 90.00 degrees
With the nearest neighbours (Å) after each atom.
Positions (direct):
Te: 0.0000 0.5000 0.0000  2 Tc 2.91, 4 P 3.14
S: 0.0000 0.0000 0.5000  2 Tc 2.22
S: 0.5000 0.0000 0.0000  2 Tc 2.22
P: 0.5000 0.5000 0.5000  4 Te 3.14
Tc: 0.0000 0.0000 0.0000  4 S 2.22

Properties
Calculated volume: 22.9 Å³ per atom
Density: 4.65 g/cm³
N(E_F): 0.80 states/eV per atom
Energy above the lowest structure with this stoichiometry: 3.12 kcal/mol of atoms
Energy: -4.95 eV/atom
M_tot: 0.172 μB per atom

---

Entry 4:
Density functional theory data (PBE) for crystalline Ta5Cd4 at its relaxed geometry.

Cell lengths 6.8224, 6.8224, 6.8224 Å; angles 95.02, 95.02, 145.60 degrees
With the nearest neighbours (Å) after each atom.
Positions (direct):
Ta: 0.0000 0.0000 0.0000  8 Ta 2.93, 4 Cd 3.06
Ta: 0.6635 0.3365 0.0000  6 Ta 2.93-3.03, 6 Cd 2.96-3.10
Ta: 0.6635 0.6635 0.3270  6 Ta 2.93-3.03, 6 Cd 2.96-3.10
Ta: 0.3365 0.6635 0.0000  6 Ta 2.93-3.03, 6 Cd 2.96-3.10
Ta: 0.3365 0.3365 0.6730  6 Ta 2.93-3.03, 6 Cd 2.96-3.10
Cd: 0.0000 0.6678 0.6678  7 Ta 2.96-3.10, 5 Cd 2.98-3.09
Cd: 0.3322 0.0000 0.3322  7 Ta 2.96-3.10, 5 Cd 2.98-3.09
Cd: 0.0000 0.3322 0.3322  7 Ta 2.96-3.10, 5 Cd 2.98-3.09
Cd: 0.6678 0.0000 0.6678  7 Ta 2.96-3.10, 5 Cd 2.98-3.09

Properties
Calculated volume: 19.0 Å³ per atom
Density: 13.12 g/cm³
N(E_F): 0.72 states/eV per atom
Energy of formation from the pure elements: 285 meV/atom
Energy: -6.71 eV/atom
M_tot: 0.000 μB per atom

---

Entry 5:
Density functional theory data (PBE) for crystalline Cs3NpCl7 at its relaxed geometry.

Cell lengths 8.0000, 8.0000, 8.8088 Å; angles 62.04, 62.04, 84.11 degrees
With the nearest neighbours (Å) after each atom.
Positions (direct):
Cs: 0.7718 0.2262 0.4886  6 Cl 3.33-3.63
Cs: 0.2262 0.7718 0.4886  6 Cl 3.33-3.63
Cs: 0.5123 0.5123 0.9151  7 Cl 3.47-3.88
Cl: 0.1402 0.1402 0.1166  1 Np 2.67
Cl: 0.8099 0.8099 0.9023  1 Np 2.67
Cl: 0.6633 0.6633 0.4031  1 Np 2.90, 2 Cl 3.22
Cl: 0.1177 0.6570 0.2075  1 Np 2.73
Cl: 0.2926 0.9760 0.7423  1 Np 2.67
Cl: 0.6570 0.1177 0.2075  1 Np 2.73
Cl: 0.9760 0.2926 0.7423  1 Np 2.67
Np: 0.9579 0.9579 0.0363  7 Cl 2.67-2.90

Properties
Calculated volume: 39.5 Å³ per atom
Density: 3.38 g/cm³
N(E_F): 0.21 states/eV per atom
Energy: -4.44 eV/atom
M_tot: 0.273 μB per atom

---

Entry 6:
Density functional theory data (PBE) for crystalline K2Tl3PdF12 at its relaxed geometry.

Cell lengths 8.1395, 8.1395, 8.1395 Å; angles 61.09, 61.09, 61.09 degrees
With the nearest neighbours (Å) after each atom.
Positions (direct):
F: 0.6730 0.6730 0.0442  2 Tl 2.27
F: 0.3270 0.9558 0.3270  2 Tl 2.27
F: 0.9272 0.9272 0.3174  1 Pd 2.18, 1 Tl 2.23
F: 0.9558 0.3270 0.3270  2 Tl 2.27
F: 0.6826 0.0728 0.0728  1 Pd 2.18, 1 Tl 2.23
F: 0.6730 0.0442 0.6730  2 Tl 2.27
F: 0.0442 0.6730 0.6730  2 Tl 2.27
F: 0.0728 0.6826 0.0728  1 Pd 2.18, 1 Tl 2.23
F: 0.3174 0.9272 0.9272  1 Pd 2.18, 1 Tl 2.23
F: 0.0728 0.0728 0.6826  1 Pd 2.18, 1 Tl 2.23
F: 0.9272 0.3174 0.9272  1 Pd 2.18, 1 Tl 2.23
F: 0.3270 0.3270 0.9558  2 Tl 2.27
K: 0.3162 0.3162 0.3162  6 F 2.85-3.02
K: 0.6838 0.6838 0.6838  6 F 2.85-3.02
Tl: 0.5000 0.0000 0.0000  6 F 2.23-2.27
Tl: 0.0000 0.0000 0.5000  6 F 2.23-2.27
Tl: 0.0000 0.5000 0.0000  6 F 2.23-2.27
Pd: 0.0000 0.0000 0.0000  6 F 2.18

Properties
Calculated volume: 21.7 Å³ per atom
Density: 4.36 g/cm³
N(E_F): 0.17 states/eV per atom
Energy: -3.95 eV/atom
M_tot: 0.085 μB per atom

---

Copy entry 1 word for word.
Density functional theory data (PBE) for crystalline ReAgIr2 at its relaxed geometry.

Cell lengths 3.8327, 2.7832, 6.3443 Å; angles 63.94, 90.00, 90.00 degrees
With the nearest neighbours (Å) after each atom.
Positions (direct):
Ir: 0.0000 0.9843 0.0144  3 Ir 2.69-2.78, 4 Re 2.72, 4 Ag 2.81
Ir: 0.0000 0.5157 0.4856  3 Ir 2.69-2.78, 4 Re 2.72, 4 Ag 2.81
Ag: 0.5000 0.7500 0.7500  2 Ag 2.78, 8 Ir 2.81, 2 Re 2.85
Re: 0.5000 0.2500 0.2500  8 Ir 2.72, 2 Re 2.78, 2 Ag 2.85

Properties
Calculated volume: 15.2 Å³ per atom
Density: 18.53 g/cm³
N(E_F): 0.67 states/eV per atom
Energy of formation from the pure elements: 179 meV/atom
Energy above the lowest structure with this stoichiometry: 3.37 kcal/mol of atoms
Energy: -8.08 eV/atom
M_tot: 0.000 μB per atom